[1]
Density functional theory data (GGA-PBE) for a relaxed Tb2ZrCo9 crystal.

Calculated values
* calculated formation energy: -0.160 eV per atom
* volume: 14.1 Å³/atom
* calculated total energy: -6.973 eV per atom

a = 8.666 Å, b = 8.666 Å, c = 8.666 Å
α = 32.76°, β = 32.76°, γ = 32.76°
Atoms (fractional coordinates):
Tb (0.139, 0.139, 0.139)
Tb (0.861, 0.861, 0.861)
Zr (0.000, 0.000, 0.000)
Co (0.079, 0.580, 0.580)
Co (0.334, 0.334, 0.334)
Co (0.420, 0.420, 0.921)
Co (0.420, 0.921, 0.420)
Co (0.500, 0.500, 0.500)
Co (0.580, 0.079, 0.580)
Co (0.580, 0.580, 0.079)
Co (0.666, 0.666, 0.666)
Co (0.921, 0.420, 0.420)



[2]
Density functional theory data (GGA-PBE) for a relaxed NiTeCl crystal.

Calculated values
* volume: 24.0 Å³/atom
* calculated total energy: -3.739 eV per atom
* raw formation energy: -3.43 kcal/mol of atoms

a = 3.429 Å, b = 3.429 Å, c = 12.256 Å
α = 90.00°, β = 90.00°, γ = 90.00°
Atoms (fractional coordinates):
Ni (0.000, 0.000, 0.000)
Ni (0.500, 0.500, 0.500)
Te (0.000, 0.000, 0.422)
Te (0.500, 0.500, 0.922)
Cl (0.000, 0.000, 0.175)
Cl (0.500, 0.500, 0.675)



[3]
Density functional theory data (GGA-PBE) for a relaxed BeTlPt2 crystal.

Calculated values
* calculated formation energy: 0.118 eV per atom
* volume: 16.5 Å³/atom
* calculated total energy: -4.425 eV per atom

a = 2.982 Å, b = 2.982 Å, c = 25.650 Å
α = 90.00°, β = 90.00°, γ = 120.00°
Atoms (fractional coordinates):
Be (0.000, 0.000, 0.000)
Be (0.333, 0.667, 0.667)
Be (0.667, 0.333, 0.333)
Tl (0.000, 0.000, 0.756)
Tl (0.333, 0.667, 0.423)
Tl (0.667, 0.333, 0.089)
Pt (0.000, 0.000, 0.274)
Pt (0.000, 0.000, 0.516)
Pt (0.333, 0.667, 0.183)
Pt (0.333, 0.667, 0.941)
Pt (0.667, 0.333, 0.608)
Pt (0.667, 0.333, 0.849)